Arrangement w

KCo2PdF: optimized geometry, GGA+U.

Crystal system: tetragonal
Total magnetic moment in μB per formula unit: 4.09

Geometry as POSCAR:
```
KCo2PdF
1.0
-0.299 -2.413 -4.499
4.144 -1.142 0.337
-1.380 -4.301 2.398
K Co Pd F
1 2 1 1
Cartesian
0.000 0.000 0.000
-0.690 -2.150 1.199
-0.149 -1.206 -2.250
1.233 -3.928 -0.882
2.072 -0.571 0.169
```

---

Arrangement x

KCo2PdF: optimized geometry, GGA+U.

Crystal system: tetragonal
Total magnetic moment in μB per formula unit: 5.33

Geometry as POSCAR:
```
KCo2PdF
1.0
4.730 0.000 0.000
0.000 6.753 0.000
0.000 0.000 4.730
K Co Pd F
1 2 1 1
Cartesian
0.000 3.376 0.000
0.000 0.000 2.365
2.365 0.000 0.000
0.000 0.000 0.000
2.365 3.376 2.365
```

---

Result of the stability comparison: arrangement x is the most stable of them.

---

Arrangement w

La2CoF2: optimized geometry, GGA+U.

Crystal system: tetragonal
Total magnetic moment in μB per formula unit: 0.02

Geometry as POSCAR:
```
La2CoF2
1.0
-1.425 -2.983 1.851
2.698 0.347 2.637
-3.539 2.977 5.950
F Co La
2 1 2
Cartesian
-2.164 -0.662 5.023
-0.102 1.003 5.416
0.000 0.000 0.000
-0.437 -0.214 3.197
-1.829 0.555 7.242
```

---

Arrangement x

La2CoF2: optimized geometry, GGA+U.

Crystal system: tetragonal
Total magnetic moment in μB per formula unit: 0.00

Geometry as POSCAR:
```
La2CoF2
1.0
7.295 0.000 0.000
0.000 7.295 0.000
0.000 0.000 3.210
F Co La
4 2 4
Cartesian
0.838 4.486 1.605
4.486 6.458 1.605
6.458 2.810 1.605
2.810 0.838 1.605
0.000 0.000 0.000
3.648 3.648 0.000
2.258 5.905 0.000
5.905 5.038 0.000
5.038 1.390 0.000
1.390 2.258 0.000
```

---

Result of the stability comparison: arrangement w is the most stable of them.

---

Arrangement w

LiCo2F: optimized geometry, GGA+U.

Crystal system: tetragonal
Total magnetic moment in μB per formula unit: 4.03

Geometry as POSCAR:
```
LiCo2F
1.0
7.764 0.000 0.000
0.000 7.764 0.000
3.882 3.882 1.879
Li Co F
2 4 2
Cartesian
3.882 3.882 0.000
3.882 7.764 0.939
6.569 1.941 0.470
1.195 5.823 0.470
5.823 5.077 1.409
9.705 10.451 1.409
0.000 0.000 0.000
7.764 3.882 0.939
```

---

Arrangement x

LiCo2F: optimized geometry, GGA+U.

Crystal system: cubic
Total magnetic moment in μB per formula unit: 3.94

Geometry as POSCAR:
```
LiCo2F
1.0
0.000 2.930 2.930
2.930 0.000 2.930
2.930 2.930 0.000
Li Co F
1 2 1
Cartesian
0.000 0.000 0.000
1.465 1.465 1.465
4.395 4.395 4.395
2.930 2.930 2.930
```

---

Result of the stability comparison: arrangement w is the most stable of them.

---

Arrangement w

Li2CoOF3: optimized geometry, GGA+U.

Crystal system: monoclinic
Total magnetic moment in μB per formula unit: 4.00

Geometry as POSCAR:
```
Li2CoOF3
1.0
5.324 -0.002 0.032
-2.570 4.663 -0.032
-0.245 0.145 5.982
Li Co O F
4 2 2 6
Cartesian
-0.505 3.141 4.123
-0.118 3.516 1.133
2.221 1.789 5.127
2.381 1.780 2.136
2.460 4.450 0.094
-0.080 0.432 3.085
4.483 1.029 4.749
4.138 0.166 1.758
0.715 3.314 5.574
0.319 2.363 2.583
1.801 0.462 3.607
3.341 2.788 0.616
2.894 3.133 3.676
1.529 0.542 0.685
```

---

Arrangement x

Li2CoOF3: optimized geometry, GGA+U.

Crystal system: monoclinic
Total magnetic moment in μB per formula unit: 4.00

Geometry as POSCAR:
```
Li2CoOF3
1.0
2.952 4.821 -0.076
-2.952 4.821 -0.076
0.000 0.068 5.132
Li Co O F
4 2 2 6
Cartesian
0.877 1.915 2.543
-0.825 2.033 4.997
0.877 7.793 2.437
-0.825 7.676 -0.016
0.679 4.854 2.490
-0.864 4.821 -0.076
-0.605 3.872 1.487
-0.605 5.837 3.493
2.119 3.614 1.845
0.818 8.335 4.295
0.661 3.586 4.092
0.661 6.123 0.888
2.119 6.095 3.135
0.818 1.374 0.686
```

---

Arrangement y

Li2CoOF3: optimized geometry, GGA+U.

Crystal system: tetragonal
Total magnetic moment in μB per formula unit: 2.00

Geometry as POSCAR:
```
Li2CoOF3
1.0
5.936 0.000 0.000
0.000 5.934 0.000
0.000 0.000 8.207
Li Co O F
8 4 4 12
Cartesian
1.431 1.525 3.060
1.525 4.505 1.012
4.411 1.429 5.116
4.505 4.409 7.163
1.536 3.063 6.203
2.873 1.535 0.047
3.063 4.399 4.150
4.400 2.871 2.100
1.453 5.926 6.168
4.483 0.008 2.065
0.008 1.453 0.013
5.928 4.481 4.116
0.131 4.724 5.969
1.210 0.130 8.021
4.726 5.804 3.918
5.805 1.210 1.866
0.035 1.654 6.255
1.655 5.900 4.204
4.281 0.034 0.101
5.900 4.280 2.152
1.455 2.919 8.183
2.919 4.480 6.129
3.017 1.454 2.026
4.481 3.015 4.079
1.406 3.160 4.167
2.775 1.406 6.222
3.160 4.529 2.119
4.530 2.774 0.063
```

---

Result of the stability comparison: arrangement y is the most stable of them.

---

Arrangement w

Li8CoO4F2: optimized geometry, GGA+U.

Crystal system: triclinic
Total magnetic moment in μB per formula unit: 3.00

Geometry as POSCAR:
```
Li8CoO4F2
1.0
5.440 0.133 -0.149
-2.236 4.900 0.393
-2.694 -1.068 5.338
Li Co O F
8 1 4 2
Cartesian
-0.827 1.902 1.801
1.338 2.064 3.781
-1.721 0.279 3.381
2.232 3.686 2.201
-1.316 3.530 3.653
1.827 0.436 1.929
0.215 0.169 4.926
0.296 3.797 0.656
0.000 0.000 0.000
3.662 0.395 1.180
-3.151 3.571 4.402
-1.417 3.749 1.675
1.928 0.217 3.907
-0.606 1.747 3.884
1.117 2.219 1.698
```

---

Arrangement x

Li8CoO4F2: optimized geometry, GGA+U.

Crystal system: triclinic
Total magnetic moment in μB per formula unit: 2.00

Geometry as POSCAR:
```
Li8CoO4F2
1.0
-0.769 5.224 1.092
-2.569 1.305 4.812
8.239 1.479 6.656
Li Co O F
16 2 8 4
Cartesian
0.125 2.983 6.531
3.291 3.943 8.880
-1.333 4.735 6.331
1.761 5.660 8.427
5.801 5.494 10.845
5.010 2.290 9.117
0.582 6.140 5.990
5.241 5.241 8.334
-0.341 2.767 4.226
4.319 1.868 6.570
-0.110 5.719 3.443
-0.900 2.515 1.715
3.139 2.348 4.133
1.609 4.066 3.681
6.234 3.273 6.229
4.775 5.026 6.029
0.000 0.000 0.000
2.450 4.004 6.280
-1.728 2.959 5.669
5.078 3.989 9.863
0.467 4.743 7.267
3.427 5.208 7.393
1.473 2.800 5.167
4.434 3.265 5.293
-0.178 4.019 2.698
6.628 5.050 6.891
-1.158 6.061 4.930
3.231 2.150 8.172
1.669 5.858 4.389
6.058 1.947 7.630
```

---

Arrangement y

Li8CoO4F2: optimized geometry, GGA+U.

Crystal system: orthorhombic
Total magnetic moment in μB per formula unit: 3.00

Geometry as POSCAR:
```
Li8CoO4F2
1.0
1.144 2.196 5.027
-4.708 -2.968 -0.650
5.334 -9.062 2.744
Li Co O F
16 2 8 4
Cartesian
0.807 -2.640 1.569
3.034 -5.728 2.082
-2.599 -1.840 4.353
1.234 -7.656 5.692
1.094 -10.309 2.742
-1.608 -5.785 1.414
-0.064 -2.108 4.452
2.031 -5.372 5.820
-1.444 -2.453 0.693
3.726 -6.395 4.445
1.965 -7.950 2.736
0.716 -0.548 2.788
2.320 -2.319 5.225
5.022 -6.842 6.553
-0.128 -7.277 3.725
-1.825 -3.662 2.743
-1.874 -0.456 2.347
1.029 -4.935 3.429
1.847 -4.220 1.935
2.080 -9.278 6.296
0.114 -8.609 2.291
1.786 -6.572 4.137
-0.752 -2.014 2.606
-2.544 -4.077 0.908
1.325 -0.663 4.660
3.983 -5.196 6.043
0.968 -3.731 5.118
4.866 -7.995 4.979
2.924 -9.708 3.095
-0.974 -5.444 3.234
```

---

Result of the stability comparison: arrangement w is the most stable of them.

---

Arrangement w

LiCo6O2F10: optimized geometry, GGA+U.

Crystal system: triclinic
Total magnetic moment in μB per formula unit: 10.89

Geometry as POSCAR:
```
LiCo6O2F10
1.0
4.868 -0.162 -0.108
-0.115 4.888 -0.088
0.191 0.283 9.166
Li Co O F
1 6 2 10
Cartesian
2.678 5.078 8.982
0.215 0.133 0.074
4.849 4.686 5.995
0.003 4.941 3.079
2.570 2.532 7.544
2.447 2.360 1.490
2.545 2.437 4.648
3.451 3.277 6.166
1.785 1.806 9.064
1.274 4.213 7.693
1.166 4.125 1.426
1.025 3.983 4.555
3.562 3.295 -0.050
3.485 3.256 3.022
1.510 1.557 3.124
1.482 1.538 6.117
4.054 0.900 7.704
3.899 0.751 1.472
3.958 0.806 4.570
```

---

Arrangement x

LiCo6O2F10: optimized geometry, GGA+U.

Crystal system: monoclinic
Total magnetic moment in μB per formula unit: 19.00

Geometry as POSCAR:
```
LiCo6O2F10
1.0
3.437 3.424 -0.001
-3.437 3.424 -0.001
0.000 0.361 9.600
Li Co O F
1 6 2 10
Cartesian
0.000 5.397 1.855
0.000 6.889 9.412
0.000 0.560 3.304
0.000 0.304 6.362
0.000 3.036 1.353
0.000 3.729 8.012
0.000 3.740 4.773
0.000 2.500 3.066
0.000 4.487 0.194
2.164 3.331 1.536
2.066 3.619 7.943
2.069 3.889 4.849
0.000 2.149 9.438
0.000 2.400 6.375
0.000 5.073 6.454
0.000 5.364 3.582
-2.164 3.331 1.536
-2.066 3.619 7.943
-2.069 3.889 4.849
```

---

Result of the stability comparison: arrangement x is the most stable of them.

---

Arrangement w

Li8CoO5F: optimized geometry, GGA+U.

Crystal system: triclinic
Total magnetic moment in μB per formula unit: 4.05

Geometry as POSCAR:
```
Li8CoO5F
1.0
0.378 -1.441 5.250
1.692 -3.758 -4.014
10.425 2.553 -0.187
Li Co O F
16 2 10 2
Cartesian
2.403 -0.869 -0.576
8.650 -2.191 -0.055
5.263 -3.762 0.427
9.440 0.114 -0.287
4.266 -1.427 -2.034
8.821 1.009 2.502
1.384 -2.239 2.751
7.252 -2.120 -1.976
5.519 -0.657 3.042
11.389 -0.540 -1.686
3.488 -3.531 -1.483
8.042 -1.095 3.054
3.172 -2.975 1.403
7.349 0.902 0.689
3.860 -0.374 1.313
10.106 -1.696 1.836
10.333 1.133 4.527
5.779 -1.303 -0.010
4.357 -0.090 -0.564
10.603 -1.412 -0.042
3.251 -4.537 0.185
7.428 -0.660 -0.528
2.428 -2.058 -2.042
6.982 0.377 2.495
5.533 -2.822 -1.287
10.087 -0.386 3.250
5.010 -2.027 1.502
9.186 1.849 0.788
2.172 -1.265 1.281
8.419 -2.586 1.803
```

---

Arrangement x

Li8CoO5F: optimized geometry, GGA+U.

Crystal system: triclinic
Total magnetic moment in μB per formula unit: 0.99

Geometry as POSCAR:
```
Li8CoO5F
1.0
5.435 0.012 -0.004
-0.241 5.775 0.011
-0.786 -1.259 8.490
Li Co O F
16 2 10 2
Cartesian
3.321 4.233 1.111
0.213 0.790 5.276
4.384 2.252 0.528
1.145 4.514 4.823
1.478 2.944 1.753
3.769 -0.494 5.947
1.810 3.809 7.446
5.029 1.519 3.041
2.510 0.841 1.158
4.585 3.129 5.586
2.995 1.597 6.689
0.656 5.089 2.423
-0.024 2.191 8.117
3.170 -0.058 3.760
1.184 0.249 7.411
4.235 3.680 3.255
-0.691 -1.202 8.172
2.269 2.291 4.033
3.327 2.449 2.117
-0.037 4.788 6.382
3.642 2.900 7.978
1.391 0.611 3.766
1.540 4.779 0.720
3.828 1.331 4.932
2.968 -0.196 7.675
0.644 3.225 3.485
0.778 1.642 0.474
2.982 3.928 4.718
1.059 1.957 6.573
4.171 5.397 2.359
```

---

Arrangement y

Li8CoO5F: optimized geometry, GGA+U.

Crystal system: monoclinic
Total magnetic moment in μB per formula unit: 4.03

Geometry as POSCAR:
```
Li8CoO5F
1.0
-4.796 -9.683 -1.758
1.663 0.140 -5.309
4.925 -2.188 -1.383
Li Co O F
16 2 10 2
Cartesian
-3.270 -7.513 -2.359
4.482 -3.295 -2.331
-1.453 -5.939 -5.666
4.847 -4.652 -6.170
1.574 -5.459 -2.558
-0.890 -10.462 -3.447
1.004 -8.880 -6.488
3.994 -2.445 -5.784
-0.980 -6.818 -2.218
2.970 -4.113 -4.013
0.573 -3.285 -2.041
0.960 -7.306 -4.686
-1.370 -9.478 -6.475
0.942 -4.782 -5.641
2.073 -1.918 -3.309
-1.392 -8.050 -4.515
1.002 -11.668 -5.793
-1.488 -4.663 -3.493
-4.224 -9.162 -2.602
4.123 -6.391 -6.543
2.529 -3.476 -2.197
-2.373 -6.438 -3.810
4.923 -3.762 -4.362
0.165 -10.561 -6.964
2.024 -5.728 -4.423
-0.280 -5.020 -2.185
-0.371 -7.517 -6.119
-2.118 -9.812 -4.718
0.190 -8.278 -3.021
2.029 -2.591 -5.273
```

---

Result of the stability comparison: arrangement y is the most stable of them.